No. 1
! Li2CuAuO, optimized geometry, DFT PBE; values from VASP
! ΔE_f (raw): -0.885 eV/atom
! DOS(E_F): 0.28 states/eV/cell
&SYSTEM
  ibrav = 0, nat = 5, ntyp = 4
/
ATOMIC_SPECIES
Au 196.97 Au.upf
O 16.00 O.upf
Cu 63.55 Cu.upf
Li 6.94 Li.upf
ATOMIC_POSITIONS crystal
Au 0.5000 0.5000 0.5000
O 0.0000 0.0000 0.0000
Cu 0.0000 0.0000 0.5000
Li 0.0000 0.5000 0.0000
Li 0.5000 0.0000 0.0000
CELL_PARAMETERS angstrom
-3.1351 1.8989 -1.5336
-2.1279 -0.9033 3.2315
1.1879 3.3488 1.7183

***

No. 2
! LiCuAuO2, optimized geometry, DFT PBE; values from VASP
! ΔE_f (raw): -0.709 eV/atom
! DOS(E_F): 4.48 states/eV/cell
! ΔE to the lowest computed polymorph: 0.0 kJ/mol of atoms
&SYSTEM
  ibrav = 0, nat = 5, ntyp = 4
/
ATOMIC_SPECIES
Li 6.94 Li.upf
Cu 63.55 Cu.upf
Au 196.97 Au.upf
O 16.00 O.upf
ATOMIC_POSITIONS crystal
Li 0.1938 0.5433 0.5433
Cu 0.7722 0.4056 0.4056
Au 0.9750 0.9887 0.9887
O 0.8689 0.1973 0.1973
O 0.0859 0.7714 0.7714
CELL_PARAMETERS angstrom
7.4721 -0.8929 -0.5415
6.3807 2.2608 -0.5984
6.3807 0.5143 2.2814

***

Which value of DOS(E_F) does entry 1 give? 0.28 states/eV/cell